VASP calculation (PBE) on YFeRu2 after structural relaxation.

abc: 4.527 4.527 4.527
angles: 60.00 60.00 60.00
Atoms (fractional coordinates):
Y: 0.000 0.000 0.000
Fe: 0.500 0.500 0.500
Ru: 0.250 0.250 0.250
Ru: 0.750 0.750 0.750

Output
Its total energy is -8.2496 eV per atom. The space group is Fm-3m, No. 225. The value obtained for the volume is 16.4 A^3/atom. The value obtained for the density of states at the Fermi level is 4.4 states/eV/cell. The calculation puts the energy of formation from the pure elements at 0.12 eV/atom.